## MnCoO2 (PBE+U)

Data for an optimized crystal structure of MnCoO2.

The structure belongs to space group C2/m (No. 12); the cell edges are 9.8055, 4.4202 and 4.4282 Å and the angles 90.00°, 116.68° and 90.00°. The inequivalent atoms are Mn at (0.1250, 0.0000, 0.3757), Co at (0.1255, 0.5000, 0.8755), O at (0.1168, 0.5000, 0.3665) and O at (0.1330, 0.0000, 0.8831).

The electronic total energy is -6.91 eV per atom. As for the polymorph energy (0 for the lowest one): 0.0000 eV/atom. The density of states at the Fermi level comes out at 0.1 states/eV per cell.